No. 1
LiCa2Os2 | PBE | optimized geometry

a = 5.583 Å, b = 5.583 Å, c = 8.014 Å
α = 90.00°, β = 90.00°, γ = 90.00°
Space group I4/mmm (No. 139)
Inequivalent atoms, fractional coordinates:
Li 0.000 0.000 0.000 (multiplicity 2)
Ca 0.000 0.500 0.250 (multiplicity 4)
Os 0.000 0.000 0.356 (multiplicity 4)

Results
Energy above the lowest structure with this stoichiometry   0.4994 eV per atom
Formation energy from the elements   20.314 kcal/mol of atoms
Magnetic moment   0.01 μB per formula unit


No. 2
LiCaOs | PBE | optimized geometry

a = 2.645 Å, b = 4.517 Å, c = 8.985 Å
α = 90.00°, β = 90.00°, γ = 90.00°
Space group Imm2 (No. 44)
Inequivalent atoms, fractional coordinates:
Li 0.000 0.000 0.000 (multiplicity 2)
Ca 0.000 0.000 0.312 (multiplicity 2)
Os 0.000 0.000 0.640 (multiplicity 2)

Results
Energy above the lowest structure with this stoichiometry   0.0102 eV per atom
Formation energy from the elements   9.064 kcal/mol of atoms
Magnetic moment   0.00 μB per formula unit


No. 3
LiCaOs | PBE | optimized geometry

a = 4.8090 Å, b = 4.8090 Å, c = 2.6756 Å
α = 90.00°, β = 90.00°, γ = 120.00°
Space group P3m1 (No. 156)
Inequivalent atoms, fractional coordinates:
Li 0.0000 0.0000 0.0000 (multiplicity 1)
Ca 0.6667 0.3333 0.6424 (multiplicity 1)
Os 0.3333 0.6667 0.1861 (multiplicity 1)

Results
Energy above the lowest structure with this stoichiometry   0.0000 eV per atom
Formation energy from the elements   8.828 kcal/mol of atoms
Magnetic moment   0.00 μB per formula unit


No. 4
LiCaPmOs | PBE | optimized geometry

a = 7.067 Å, b = 7.067 Å, c = 7.067 Å
α = 90.00°, β = 90.00°, γ = 90.00°
Space group F-43m (No. 216)
Inequivalent atoms, fractional coordinates:
Li 0.000 0.000 0.000 (multiplicity 4)
Ca 0.250 0.250 0.750 (multiplicity 4)
Pm 0.250 0.250 0.250 (multiplicity 4)
Os 0.000 0.000 0.500 (multiplicity 4)

Results
Formation energy from the elements   2.008 kcal/mol of atoms
Magnetic moment   0.00 μB per formula unit


No. 5
LiCaPrOs | PBE | optimized geometry

a = 7.121 Å, b = 7.121 Å, c = 7.121 Å
α = 90.00°, β = 90.00°, γ = 90.00°
Space group F-43m (No. 216)
Inequivalent atoms, fractional coordinates:
Li 0.000 0.000 0.000 (multiplicity 4)
Ca 0.250 0.250 0.750 (multiplicity 4)
Pr 0.250 0.250 0.250 (multiplicity 4)
Os 0.000 0.000 0.500 (multiplicity 4)

Results
Formation energy from the elements   2.646 kcal/mol of atoms
Magnetic moment   0.00 μB per formula unit


No. 6
LiCa2OsPt | PBE | optimized geometry

a = 5.474 Å, b = 5.474 Å, c = 4.855 Å
α = 90.00°, β = 90.00°, γ = 90.00°
Space group P4/mmm (No. 123)
Inequivalent atoms, fractional coordinates:
Li 0.000 0.000 0.000 (multiplicity 1)
Ca 0.000 0.500 0.500 (multiplicity 2)
Os 0.500 0.500 0.500 (multiplicity 1)
Pt 0.500 0.500 0.000 (multiplicity 1)

Results
Formation energy from the elements   6.123 kcal/mol of atoms
Magnetic moment   0.40 μB per formula unit